VASP calculation (PBE) on an optimized crystal structure of CsTiC3.

## Properties
* M_tot: 0.000 μB/cell
* formation enthalpy at 0 K: 1.83 eV per atom

a = 4.3267 Å, b = 4.3267 Å, c = 4.3267 Å
α = 90.00°, β = 90.00°, γ = 90.00°
Last column: nearest neighbours and their distance in Å.
Positions (direct):
Cs 0.0000 0.0000 0.0000  12 C 3.06
Ti 0.5000 0.5000 0.5000  6 C 2.16
C 0.0000 0.5000 0.5000  2 Ti 2.16
C 0.5000 0.0000 0.5000  2 Ti 2.16
C 0.5000 0.5000 0.0000  2 Ti 2.16